Record 1
Density functional theory data (PBE) for an optimized crystal structure of TlPtCl2.

CIF file:
```
data_TlPtCl2
_cell_length_a 7.1420
_cell_length_b 7.1420
_cell_length_c 7.1420
_cell_angle_alpha 90.00
_cell_angle_beta 90.00
_cell_angle_gamma 90.00
_symmetry_space_group_name_H-M 'F m -3 m'
_symmetry_Int_Tables_number 225
_symmetry_space_group_name_Hall '-F 4 2 3'
loop_
_atom_site_label
_atom_site_type_symbol
_atom_site_fract_x
_atom_site_fract_y
_atom_site_fract_z
Tl1 Tl 0.0000 0.0000 0.0000
Pt1 Pt 0.0000 0.0000 0.5000
Cl1 Cl 0.2500 0.2500 0.2500
```

Calculated values
Its energy relative to the lowest polymorph listed for this composition is 0.5488 eV per atom.

---

Record 2
Density functional theory data (PBE) for an optimized crystal structure of Tl2PtCl5.

CIF file:
```
data_Tl2PtCl5
_cell_length_a 7.2340
_cell_length_b 7.2340
_cell_length_c 9.4574
_cell_angle_alpha 90.00
_cell_angle_beta 90.00
_cell_angle_gamma 90.00
_symmetry_space_group_name_H-M 'I 4 m m'
_symmetry_Int_Tables_number 107
_symmetry_space_group_name_Hall 'I 4 -2'
loop_
_atom_site_label
_atom_site_type_symbol
_atom_site_fract_x
_atom_site_fract_y
_atom_site_fract_z
Tl1 Tl 0.0000 0.5000 0.0000
Pt1 Pt 0.0000 0.0000 0.2431
Cl1 Cl 0.0000 0.0000 0.5053
Cl2 Cl 0.2278 0.2278 0.2286
```

---

Per-record E_tot, eV per atom: -2.794; -3.199
Per-record E_form (uncorrected), eV per atom: 0.231; -0.698